# 1
{"formula": "SrTaSb2Te", "functional": "PBE-GGA", "state": "relaxed", "cell": [[5.760, 0.000, 0.000], [0.000, 5.760, 0.000], [0.000, 0.000, 5.789]], "species": ["Sb", "Sb", "Te", "Sr", "Ta"], "frac_coords": [[0.500, 0.000, 0.000], [0.000, 0.500, 0.000], [0.000, 0.000, 0.500], [0.000, 0.000, 0.000], [0.500, 0.500, 0.500]], "formation_energy_uncorrected_ev_per_atom": 1.69, "sg": "P4/mmm, No. 123"}



# 2
{"formula": "PrSm2Sn", "functional": "PBE-GGA", "state": "relaxed", "cell": [[4.902, 0.000, 0.000], [0.000, 4.942, 0.000], [0.000, 0.000, 4.942]], "species": ["Sm", "Pr", "Sn", "Sm"], "frac_coords": [[0.000, 0.500, 0.000], [0.500, 0.500, 0.500], [0.500, 0.000, 0.000], [0.000, 0.000, 0.500]], "sg": "P4/mmm, No. 123", "formation_enthalpy_0k_ev_per_fu": -1.77}



# 3
{"formula": "NbV3H2", "functional": "PBE-GGA", "state": "relaxed", "cell": [[4.883, 0.000, 0.000], [0.000, 4.770, -2.754], [0.000, 0.000, 5.508]], "species": ["V", "V", "H", "Nb", "V", "V", "H", "Nb", "H", "V", "H", "V"], "frac_coords": [[0.249, 0.840, 0.160], [0.249, 0.320, 0.160], [0.000, 0.000, 0.000], [0.722, 0.667, 0.333], [0.751, 0.680, 0.840], [0.751, 0.160, 0.320], [0.000, 0.500, 0.500], [0.278, 0.333, 0.667], [0.000, 0.000, 0.500], [0.249, 0.840, 0.680], [0.000, 0.500, 0.000], [0.751, 0.160, 0.840]], "energy_ev_per_atom": -7.319, "sg": "P-3m1, No. 164"}



# 4
{"formula": "Nd6C2NF3", "functional": "PBE-GGA", "state": "relaxed", "cell": [[6.356, -0.008, 0.003], [-3.184, 5.501, 0.003], [-1.055, -1.826, 6.274]], "species": ["Nd", "Nd", "Nd", "C", "F", "F", "Nd", "Nd", "C", "Nd", "F", "N"], "frac_coords": [[0.259, 0.259, 0.780], [0.403, 0.073, 0.219], [0.741, 0.741, 0.220], [0.666, 0.334, 0.000], [0.500, 0.500, 0.500], [0.182, 0.818, 0.500], [0.073, 0.403, 0.219], [0.597, 0.927, 0.781], [0.334, 0.666, 0.000], [0.927, 0.597, 0.781], [0.818, 0.182, 0.500], [0.000, 0.000, 0.000]], "formation_energy_uncorrected_ev_per_atom": -1.65, "sg": "C2/m, No. 12"}



# 5
{"formula": "CuTcAs2", "functional": "PBE-GGA", "state": "relaxed", "cell": [[4.689, -0.020, -0.016], [1.111, 4.556, 0.016], [-2.477, -2.809, 2.822]], "species": ["As", "As", "Cu", "Tc"], "frac_coords": [[0.980, 0.980, 0.000], [0.520, 0.520, 0.000], [0.750, 0.250, 0.500], [0.250, 0.750, 0.500]], "sg": "Immm, No. 71", "formation_enthalpy_0k_ev_per_fu": 0.85}



# 6
{"formula": "TbSmZnCu", "functional": "PBE-GGA", "state": "relaxed", "cell": [[-2.323, -2.691, -0.175], [1.417, -1.022, -3.101], [4.613, -4.210, 3.495]], "species": ["Sm", "Cu", "Zn", "Tb"], "frac_coords": [[0.500, 0.500, 0.112], [0.000, 0.000, 0.368], [0.000, 0.000, 0.849], [0.500, 0.500, 0.599]], "sg": "P4mm, No. 99", "formation_enthalpy_0k_ev_per_fu": -1.06}



# 7
{"formula": "Si3Sb", "functional": "PBE-GGA", "state": "relaxed", "cell": [[3.678, 0.000, 0.000], [0.000, 4.569, 0.041], [0.000, 1.356, 4.736]], "species": ["Sb", "Si", "Si", "Si"], "frac_coords": [[0.000, 0.000, 0.000], [0.500, 0.758, 0.684], [0.000, 0.500, 0.500], [0.500, 0.242, 0.316]], "formation_energy_uncorrected_ev_per_atom": 0.36, "sg": "P2/m, No. 10"}



# 8
{"formula": "SnHPd3", "functional": "PBE-GGA", "state": "relaxed", "cell": [[-0.811, 2.420, 1.332], [-6.235, -0.389, -3.088], [2.575, -2.439, 5.998]], "species": ["Pd", "Sn", "Pd", "Pd", "H"], "frac_coords": [[0.500, 0.171, 0.327], [0.500, 0.095, 0.905], [0.500, 0.673, 0.829], [0.000, 0.266, 0.734], [0.000, 0.422, 0.578]], "energy_ev_per_atom": -4.534, "sg": "Amm2, No. 38"}



# 9
{"formula": "CaAl4Te", "functional": "PBE-GGA", "state": "relaxed", "cell": [[1.826, -5.356, -0.406], [-3.735, -4.239, -0.523], [-0.456, -2.788, -4.920]], "species": ["Ca", "Al", "Al", "Te", "Al", "Al"], "frac_coords": [[0.750, 0.750, 0.750], [0.376, 0.376, 0.872], [0.376, 0.376, 0.376], [0.000, 0.000, 0.000], [0.872, 0.376, 0.376], [0.376, 0.872, 0.376]], "formation_energy_uncorrected_ev_per_atom": -0.09, "sg": "F-43m, No. 216"}



# 10
{"formula": "Sc4SnP", "functional": "PBE-GGA", "state": "relaxed", "cell": [[5.700, 0.000, 0.000], [0.000, 6.833, 0.416], [-2.850, -2.436, 6.889]], "species": ["Sn", "P", "Sc", "Sc", "Sc", "Sc", "Sc", "Sc", "Sn", "Sc", "P", "Sc"], "frac_coords": [[0.124, 0.250, 0.000], [0.500, 0.000, 0.500], [0.511, 0.061, 0.832], [0.730, 0.359, 0.652], [0.321, 0.561, 0.832], [0.270, 0.641, 0.348], [0.078, 0.141, 0.348], [0.922, 0.859, 0.652], [0.876, 0.750, 0.000], [0.679, 0.439, 0.168], [0.000, 0.500, 0.500], [0.489, 0.939, 0.168]], "sg": "C2/c, No. 15", "formation_enthalpy_0k_ev_per_fu": -3.83}



# 11
{"formula": "Mn4CrH4", "functional": "PBE-GGA", "state": "relaxed", "cell": [[2.615, 0.000, 1.048], [1.133, 5.534, 0.960], [-0.422, 0.296, 4.839]], "species": ["Mn", "Mn", "Cr", "H", "H", "Mn", "H", "H", "Mn"], "frac_coords": [[0.582, 0.632, 0.204], [0.767, 0.843, 0.622], [0.000, 0.000, 0.000], [0.798, 0.558, 0.845], [0.202, 0.442, 0.155], [0.418, 0.368, 0.796], [0.619, 0.329, 0.433], [0.381, 0.671, 0.567], [0.233, 0.157, 0.378]], "energy_ev_per_atom": -6.565, "sg": "C2/m, No. 12"}



# 12
{"formula": "InIr2CBr", "functional": "PBE-GGA", "state": "relaxed", "cell": [[-3.227, -2.007, 1.151], [0.480, -3.859, -5.382], [2.295, -2.532, 2.021]], "species": ["In", "Ir", "Ir", "C", "Br"], "frac_coords": [[0.000, 0.500, 0.000], [0.500, 0.000, 0.000], [0.000, 0.000, 0.500], [0.000, 0.000, 0.000], [0.500, 0.500, 0.500]], "formation_energy_uncorrected_ev_per_atom": 0.68, "sg": "P4/mmm, No. 123"}



Number 1: total magnetization 0.08 μB/f.u.. Number 2: total magnetization 0.00 μB/f.u.. Number 3: total magnetization 0.00 μB/f.u.. Number 4: total magnetization 0.00 μB/f.u.. Number 5: total magnetization 0.00 μB/f.u.. Number 6: total magnetization 0.00 μB/f.u.. Number 7: total magnetization 0.00 μB/f.u.. Number 8: total magnetization 0.00 μB/f.u.. Number 9: total magnetization 0.00 μB/f.u.. Number 10: total magnetization 0.00 μB/f.u.. Number 11: total magnetization 7.03 μB/f.u.. Number 12: total magnetization 0.00 μB/f.u..